[1]
Here is a relaxed BaZr2W crystal from the Alexandria database. Energies are from PBE.

Cell lengths 3.150, 4.746, 7.362 Å; angles 90.00, 92.15, 90.00 degrees
Space group Pm (No. 6)
Symmetry-distinct sites (fractional):
Ba (0.000, 0.000, 0.000) [1 per cell]
Zr (0.396, 0.000, 0.541) [1 per cell]
Zr (0.953, 0.500, 0.353) [1 per cell]
W (0.702, 0.500, 0.683) [1 per cell]

Results
Total moment, μB/cell: 0.0
Energy, eV per atom: -7.340
ΔH_f (0 K), eV per atom: 0.65

***

[2]
Here is a relaxed PmHgO3 crystal from the Alexandria database. Energies are from PBE.

Cell lengths 6.694, 6.057, 8.375 Å; angles 90.00, 102.49, 90.00 degrees
Space group P2_1/c (No. 14)
Symmetry-distinct sites (fractional):
Pm (0.211, 0.236, 0.219) [4 per cell]
Hg (0.368, 0.740, 0.432) [4 per cell]
O (0.100, 0.567, 0.322) [4 per cell]
O (0.321, 0.148, 0.490) [4 per cell]
O (0.402, 0.612, 0.690) [4 per cell]

Results
Total moment, μB/cell: 0.0
Energy, eV per atom: -5.617
Uncorrected formation energy, eV per atom: -1.632

***

[3]
Here is a relaxed ErPuPd6 crystal from the Alexandria database. Energies are from PBE.

Cell lengths 4.120, 4.120, 8.251 Å; angles 90.00, 90.00, 90.00 degrees
Space group P4/mmm (No. 123)
Symmetry-distinct sites (fractional):
Er (0.000, 0.000, 0.000) [1 per cell]
Pu (0.000, 0.000, 0.500) [1 per cell]
Pd (0.000, 0.500, 0.250) [4 per cell]
Pd (0.500, 0.500, 0.000) [1 per cell]
Pd (0.500, 0.500, 0.500) [1 per cell]

Results
Total moment, μB/cell: 4.1
Energy, eV per atom: -6.992
ΔH_f (0 K), eV per atom: -0.74

***

[4]
Here is a relaxed LiIrRu3 crystal from the Alexandria database. Energies are from PBE.

Cell lengths 4.729, 4.729, 4.729 Å; angles 90.00, 90.00, 90.00 degrees
Space group Pm-3m (No. 221)
Symmetry-distinct sites (fractional):
Li (0.000, 0.000, 0.000) [1 per cell]
Ir (0.500, 0.500, 0.500) [1 per cell]
Ru (0.000, 0.500, 0.500) [3 per cell]

Results
Total moment, μB/cell: 1.9
Energy, eV per atom: -6.193
ΔH_f (0 K), eV per atom: 1.53

***

[5]
Here is a relaxed CaTeIrI2 crystal from the Alexandria database. Energies are from PBE.

Cell lengths 5.858, 5.858, 6.154 Å; angles 90.00, 90.00, 90.00 degrees
Space group P4/mmm (No. 123)
Symmetry-distinct sites (fractional):
Ca (0.000, 0.000, 0.000) [1 per cell]
Te (0.000, 0.000, 0.500) [1 per cell]
Ir (0.500, 0.500, 0.500) [1 per cell]
I (0.000, 0.500, 0.000) [2 per cell]

Results
Total moment, μB/cell: 3.1
Energy, eV per atom: -2.657
Uncorrected formation energy, eV per atom: 0.763

***

[6]
Here is a relaxed MgZrHg2 crystal from the Alexandria database. Energies are from PBE.

Cell lengths 6.996, 6.996, 6.996 Å; angles 90.00, 90.00, 90.00 degrees
Space group F-43m (No. 216)
Symmetry-distinct sites (fractional):
Mg (0.000, 0.000, 0.000) [4 per cell]
Zr (0.250, 0.250, 0.250) [4 per cell]
Hg (0.000, 0.000, 0.500) [4 per cell]
Hg (0.250, 0.250, 0.750) [4 per cell]

Results
Total moment, μB/cell: 0.0
Energy, eV per atom: -2.583
ΔH_f (0 K), eV per atom: 0.10

***

[7]
Here is a relaxed La8Co3AuBr4 crystal from the Alexandria database. Energies are from PBE.

Cell lengths 14.519, 8.306, 9.219 Å; angles 90.00, 121.45, 90.00 degrees
Space group C2/m (No. 12)
Symmetry-distinct sites (fractional):
La (0.022, 0.233, 0.305) [8 per cell]
La (0.234, 0.000, 0.695) [4 per cell]
La (0.242, 0.500, 0.693) [4 per cell]
Co (0.000, 0.000, 0.500) [2 per cell]
Co (0.250, 0.250, 0.500) [4 per cell]
Au (0.000, 0.500, 0.500) [2 per cell]
Br (0.000, 0.000, 0.000) [2 per cell]
Br (0.000, 0.500, 0.000) [2 per cell]
Br (0.250, 0.250, 0.000) [4 per cell]

Results
Total moment, μB/cell: 0.0
Energy, eV per atom: -5.298
Uncorrected formation energy, eV per atom: -0.879

***

[8]
Here is a relaxed YMgZr2 crystal from the Alexandria database. Energies are from PBE.

Cell lengths 5.351, 5.351, 3.428 Å; angles 90.00, 90.00, 90.00 degrees
Space group P4/mmm (No. 123)
Symmetry-distinct sites (fractional):
Y (0.000, 0.000, 0.000) [1 per cell]
Mg (0.500, 0.500, 0.000) [1 per cell]
Zr (0.000, 0.500, 0.500) [2 per cell]

Results
Total moment, μB/cell: 0.0
Energy, eV per atom: -6.064
ΔH_f (0 K), eV per atom: 0.23